The following is a PBEsol calculation of an optimized crystal structure of FeCo, from Alexandria via LeMat-Bulk.

The calculation puts the volume at 10.88 Å³/atom. The density of states at the Fermi level is 9.10 states/eV per cell. The calculation puts the energy of formation from the pure elements at 0.04 eV/f.u. For the total magnetic moment, the calculation gives 25.84 μB per cell.

a = 8.845 Å, b = 2.784 Å, c = 5.588 Å
α = 90.00°, β = 108.38°, γ = 90.00°
Space group Cm (No. 8)
Inequivalent atoms, fractional coordinates:
Fe 0.000 0.000 0.000
Fe 0.001 0.000 0.501
Fe 0.169 0.500 0.334
Co 0.164 0.500 0.832
Co 0.335 0.000 0.668
Co 0.336 0.000 0.168